No. 1
# Ac6As2Se3N | Alexandria via LeMat-Bulk | PBE | optimized geometry
data_Ac6As2Se3N
_chemical_formula_sum 'Ac12 As4 Se6 N2'
_symmetry_space_group_name_H-M 'C 1 2/m 1'
_symmetry_Int_Tables_number 12
_symmetry_space_group_name_Hall '-C 2y'
_cell_length_a 19.341
_cell_length_b 4.376
_cell_length_c 8.923
_cell_angle_alpha 90.00
_cell_angle_beta 104.37
_cell_angle_gamma 90.00
loop_
_atom_site_label
_atom_site_type_symbol
_atom_site_fract_x
_atom_site_fract_y
_atom_site_fract_z
Ac1 Ac 0.000 0.000 0.215
Ac2 Ac 0.147 0.500 0.077
Ac3 Ac 0.167 0.500 0.581
As1 As 0.165 0.000 0.332
Se1 Se 0.000 0.500 0.500
Se2 Se 0.171 0.000 0.838
N1 N 0.000 0.500 0.000
# - Formation energy (no corrections): -1.61 eV/atom
# - Crystal system: monoclinic
# - N(E_F): 8.95 states/eV/cell
# - Raw total energy: -143.98 eV per cell

No. 2
# CsAcAuO2 | Alexandria via LeMat-Bulk | PBE | optimized geometry
data_CsAcAuO2
_chemical_formula_sum 'Cs2 Ac2 Au2 O4'
_symmetry_space_group_name_H-M 'P 1 2/c 1'
_symmetry_Int_Tables_number 13
_symmetry_space_group_name_Hall '-P 2yc'
_cell_length_a 6.627
_cell_length_b 5.581
_cell_length_c 7.629
_cell_angle_alpha 90.00
_cell_angle_beta 90.61
_cell_angle_gamma 90.00
loop_
_atom_site_label
_atom_site_type_symbol
_atom_site_fract_x
_atom_site_fract_y
_atom_site_fract_z
Cs1 Cs 0.000 0.008 0.250
Ac1 Ac 0.500 0.499 0.750
Au1 Au 0.500 0.000 0.000
O1 O 0.314 0.325 0.498
# - Formation energy (no corrections): -1.56 eV/atom
# - Crystal system: monoclinic
# - N(E_F): 5.65 states/eV/cell
# - Raw total energy: -51.91 eV per cell